16
Lattice="-3.4628 6.4967 -2.0320 -7.5543 -2.9524 3.4341 5.9847 0.1860 4.7479" Properties=species:S:1:pos:R:3 comment="Tl4CuSn3S8 PBE optimized geometry" energy_ev_per_atom=-3.9806 space_group="C2/m, No. 12" pbc="T T T"
S -3.0592 0.7832 0.7293
Tl -1.7314 3.2483 -1.0160
S -4.8359 4.1166 -0.3134
Sn -5.5085 1.7721 0.7010
S -0.0053 0.9429 3.0237
Sn -0.7848 -1.3832 4.0910
Tl 0.0000 0.0000 0.0000
S -1.7609 4.2193 2.1384
S -1.9732 2.9471 5.4207
S -3.2715 -0.4890 4.0115
Sn -2.5162 1.8651 3.0750
Cu -3.7772 -1.4762 1.7170
S -0.1964 -0.3864 6.4633
S -5.0270 2.7873 3.1262
Tl 2.9924 0.0930 2.3739
Tl 1.2610 3.3413 1.3579